Compound: TiNiN2O
Source: Alexandria
Functional: PBE+U
Structure: relaxed

Properties
The value obtained for the magnetization is 0.3 μB per formula unit. As for the space-group type: P4/mmm (123). The mass density comes out at 5.23 g/cm3. The density of states at the Fermi level is 1.52 states/eV/cell. The energy is -30.36 eV for the cell shown.

Cell lengths 3.6501, 3.6501, 3.5875 Å; angles 90.00, 90.00, 90.00 degrees
Last column: nearest neighbours and their distance in Å.
Atoms (fractional coordinates):
1 N 0.0000 0.5000 0.0000  2 Ni 1.83
2 Ni 0.0000 0.0000 0.0000  2 O 1.79, 4 N 1.83
3 O 0.0000 0.0000 0.5000  2 Ni 1.79
4 N 0.5000 0.0000 0.0000  2 Ni 1.83
5 Ti 0.5000 0.5000 0.5000  8 N 2.56, 4 O 2.58